[1]
This record from the Open Quantum Materials Database describes Er3In3CuNi2 after structural relaxation. The functional is PBE.

Results
V = 181.51 Å³ per cell
spin magnetization = 0.00 μB/atom
total DFT energy (no corrections) = -4.567 eV per atom
symmetry = No. 189

a b c (Å): 7.4150 7.4150 3.8119
angles (deg): 90.00 90.00 120.00
Last column: nearest neighbours and their distance in Å.
Sites, in units of the cell vectors:
Cu 0.0000 0.0000 0.0000  6 In 2.70
Er 0.5873 0.0000 0.0000  4 Ni 2.94, 1 Cu 3.06, 6 In 3.09-3.29
Er 0.4127 0.4127 0.0000  4 Ni 2.94, 1 Cu 3.06, 6 In 3.09-3.29
Er 0.0000 0.5873 0.0000  4 Ni 2.94, 1 Cu 3.06, 6 In 3.09-3.29
In 0.2585 0.0000 0.5000  2 Cu 2.70, 2 Ni 2.79
In 0.0000 0.2585 0.5000  2 Cu 2.70, 2 Ni 2.79
In 0.7415 0.7415 0.5000  2 Cu 2.70, 2 Ni 2.79
Ni 0.6667 0.3333 0.5000  3 In 2.79, 6 Er 2.94
Ni 0.3333 0.6667 0.5000  3 In 2.79, 6 Er 2.94


[2]
This record from the Open Quantum Materials Database describes Sb2W8C3N3 after structural relaxation. The functional is PBE.

Results
V = 203.37 Å³ per cell
spin magnetization = 0.01 μB/atom
total DFT energy (no corrections) = -9.904 eV per atom
symmetry = No. 164

a b c (Å): 3.1986 3.1986 22.9530
angles (deg): 90.00 90.00 120.00
Last column: nearest neighbours and their distance in Å.
Sites, in units of the cell vectors:
C 0.3333 0.6667 0.3896  6 W 2.08-2.22
C 0.0000 0.0000 0.5000  6 W 2.26
C 0.6667 0.3333 0.6104  6 W 2.08-2.22
N 0.0000 0.0000 0.0000  6 W 2.13
N 0.3333 0.6667 0.1016  6 W 2.19-2.24
N 0.6667 0.3333 0.8984  6 W 2.19-2.24
Sb 0.6667 0.3333 0.2461  6 W 2.83-2.98
Sb 0.3333 0.6667 0.7539  6 W 2.83-2.98
W 0.6667 0.3333 0.0463  6 N 2.13-2.24
W 0.0000 0.0000 0.1527  3 N 2.19
W 0.0000 0.0000 0.3477  3 C 2.08
W 0.6667 0.3333 0.4435  6 C 2.22-2.26
W 0.3333 0.6667 0.5565  6 C 2.22-2.26
W 0.0000 0.0000 0.6523  3 C 2.08
W 0.0000 0.0000 0.8473  3 N 2.19
W 0.3333 0.6667 0.9537  6 N 2.13-2.24